{"formula": "Ti2Tc3Ge", "functional": "PBE-GGA", "state": "optimized geometry", "n_ef_per_ev_fu": 6.69, "e_tot_ev_per_atom": -8.988, "formation_energy_ev_per_atom": -0.404, "lattice": [[2.189, -6.561, 0.000], [2.189, 6.561, 0.000], [0.000, 0.000, 6.185]], "species": ["Tc", "Tc", "Tc", "Tc", "Ti", "Tc", "Tc", "Ti", "Ge", "Ti", "Ge", "Ti"], "frac_coords": [[0.828, 0.172, 0.760], [0.828, 0.172, 0.240], [0.172, 0.828, 0.240], [0.500, 0.500, 0.256], [0.000, 0.000, 0.500], [0.500, 0.500, 0.744], [0.172, 0.828, 0.760], [0.000, 0.000, 0.000], [0.656, 0.344, 0.000], [0.332, 0.668, 0.500], [0.344, 0.656, 0.000], [0.668, 0.332, 0.500]]}



{"formula": "TiTcGe", "functional": "PBE-GGA", "state": "optimized geometry", "de_polymorph_kj_per_mol_atoms": 19.9, "n_ef_per_ev_fu": 1.89, "e_tot_ev_per_atom": -8.036, "formation_energy_ev_per_atom": -0.410, "lattice": [[-1.065, -2.111, -2.034], [2.763, -4.286, 0.609], [-3.333, -4.444, 3.966]], "species": ["Ge", "Ge", "Ti", "Tc", "Tc", "Ti"], "frac_coords": [[0.137, 0.885, 0.841], [0.863, 0.115, 0.159], [0.119, 0.518, 0.245], [0.627, 0.189, 0.557], [0.373, 0.811, 0.443], [0.881, 0.482, 0.755]]}



{"formula": "Ti3Tc4Ge", "functional": "PBE-GGA", "state": "optimized geometry", "n_ef_per_ev_fu": 9.39, "e_tot_ev_per_atom": -9.118, "formation_energy_ev_per_atom": -0.398, "lattice": [[3.129, 0.000, 0.000], [0.000, 3.129, 0.000], [0.000, 0.000, 12.142]], "species": ["Tc", "Tc", "Tc", "Tc", "Ti", "Ti", "Ge", "Ti"], "frac_coords": [[0.000, 0.000, 0.119], [0.000, 0.000, 0.373], [0.000, 0.000, 0.881], [0.000, 0.000, 0.627], [0.500, 0.500, 0.500], [0.500, 0.500, 0.753], [0.500, 0.500, 0.000], [0.500, 0.500, 0.247]]}



{"formula": "Ti6Tc5Ge", "functional": "PBE-GGA", "state": "optimized geometry", "n_ef_per_ev_fu": 8.57, "e_tot_ev_per_atom": -9.194, "formation_energy_ev_per_atom": -0.542, "lattice": [[-1.259, 1.847, -3.751], [0.463, -5.574, -2.900], [-5.884, 0.576, 4.799]], "species": ["Ti", "Tc", "Ti", "Tc", "Tc", "Ti", "Tc", "Ti", "Ti", "Ti", "Tc", "Ge"], "frac_coords": [[0.170, 0.426, 0.341], [0.000, 0.500, 0.000], [0.170, 0.915, 0.341], [0.332, 0.332, 0.663], [0.668, 0.668, 0.337], [0.500, 0.264, 0.000], [0.661, 0.161, 0.322], [0.830, 0.085, 0.659], [0.830, 0.574, 0.659], [0.500, 0.736, 0.000], [0.339, 0.839, 0.678], [0.000, 0.000, 0.000]]}



{"formula": "Ti2Tc2Ge5", "functional": "PBE-GGA", "state": "optimized geometry", "n_ef_per_ev_fu": 7.42, "e_tot_ev_per_atom": -6.667, "formation_energy_ev_per_atom": -0.044, "lattice": [[-1.561, 1.464, 6.832], [2.953, -5.285, 1.807], [4.228, 6.028, -0.326]], "species": ["Ge", "Ti", "Ge", "Tc", "Ge", "Ge", "Ti", "Ge", "Ti", "Ge", "Tc", "Ge", "Ge", "Ti", "Tc", "Tc", "Ge", "Ge"], "frac_coords": [[0.359, 0.005, 0.277], [0.500, 0.686, 0.373], [0.641, 0.272, 0.277], [0.828, 0.351, 0.000], [0.000, 0.000, 0.000], [0.359, 0.728, 0.723], [0.000, 0.186, 0.373], [0.500, 0.500, 0.000], [0.500, 0.314, 0.627], [0.141, 0.228, 0.723], [0.172, 0.649, 0.000], [0.141, 0.505, 0.277], [0.859, 0.772, 0.277], [0.000, 0.814, 0.627], [0.672, 0.851, 0.000], [0.328, 0.149, 0.000], [0.641, 0.995, 0.723], [0.859, 0.495, 0.723]]}



{"formula": "Ti2TcGe4", "functional": "PBE-GGA", "state": "optimized geometry", "n_ef_per_ev_fu": 5.27, "e_tot_ev_per_atom": -6.168, "formation_energy_ev_per_atom": 0.207, "lattice": [[4.746, 0.000, 0.000], [0.000, 4.746, 0.000], [2.373, 2.373, 6.348]], "species": ["Ge", "Tc", "Ti", "Ti", "Ge", "Ge", "Ge"], "frac_coords": [[0.500, 0.000, 0.000], [0.000, 0.000, 0.000], [0.399, 0.399, 0.203], [0.601, 0.601, 0.797], [0.802, 0.802, 0.396], [0.000, 0.500, 0.000], [0.198, 0.198, 0.604]]}



{"formula": "YTiTcGe2", "functional": "PBE-GGA", "state": "optimized geometry", "n_ef_per_ev_fu": 3.56, "e_tot_ev_per_atom": -7.454, "formation_energy_ev_per_atom": -0.662, "lattice": [[3.974, 0.000, 0.000], [0.000, 3.974, 0.000], [-1.987, -1.987, 5.799]], "species": ["Y", "Ge", "Ge", "Ti", "Tc"], "frac_coords": [[0.000, 0.000, 0.000], [0.392, 0.392, 0.783], [0.608, 0.608, 0.217], [0.250, 0.750, 0.500], [0.750, 0.250, 0.500]]}



{"formula": "TlTc2Ge2", "functional": "PBE-GGA", "state": "optimized geometry", "de_polymorph_kj_per_mol_atoms": 0.0, "n_ef_per_ev_fu": 2.59, "e_tot_ev_per_atom": -6.327, "formation_energy_ev_per_atom": 0.140, "lattice": [[7.268, 0.000, 0.000], [0.000, 7.268, 0.000], [0.000, 0.000, 3.183]], "species": ["Ge", "Tc", "Ge", "Tl", "Tc", "Tc", "Tl", "Tc", "Ge", "Ge"], "frac_coords": [[0.355, 0.145, 0.500], [0.647, 0.147, 0.000], [0.645, 0.855, 0.500], [0.000, 0.000, 0.000], [0.853, 0.647, 0.000], [0.147, 0.353, 0.000], [0.500, 0.500, 0.000], [0.353, 0.853, 0.000], [0.855, 0.355, 0.500], [0.145, 0.645, 0.500]]}



{"formula": "TlTcGe2", "functional": "PBE-GGA", "state": "optimized geometry", "de_polymorph_kj_per_mol_atoms": 20.5, "n_ef_per_ev_fu": 4.15, "e_tot_ev_per_atom": -4.800, "formation_energy_ev_per_atom": 0.692, "lattice": [[0.078, -4.738, -0.502], [2.118, -2.711, 3.298], [-2.629, -2.744, 2.875]], "species": ["Ge", "Tl", "Tc", "Ge"], "frac_coords": [[0.250, 0.250, 0.250], [0.500, 0.500, 0.500], [0.000, 0.000, 0.000], [0.750, 0.750, 0.750]]}



{"formula": "TlTc3Ge", "functional": "PBE-GGA", "state": "optimized geometry", "de_polymorph_kj_per_mol_atoms": 127.8, "n_ef_per_ev_fu": 8.97, "e_tot_ev_per_atom": -5.114, "formation_energy_ev_per_atom": 2.502, "lattice": [[5.132, 0.000, 0.000], [0.000, 5.132, 0.000], [0.000, 0.000, 5.132]], "species": ["Tl", "Tc", "Tc", "Ge", "Tc"], "frac_coords": [[0.000, 0.000, 0.000], [0.500, 0.000, 0.000], [0.000, 0.500, 0.000], [0.500, 0.500, 0.500], [0.000, 0.000, 0.500]]}



{"formula": "Tl2Tc2Ge", "functional": "PBE-GGA", "state": "optimized geometry", "n_ef_per_ev_fu": 4.48, "e_tot_ev_per_atom": -5.629, "formation_energy_ev_per_atom": 0.387, "lattice": [[-2.286, -0.662, -6.058], [-1.487, -6.214, 1.240], [-4.137, 1.273, 1.422]], "species": ["Tc", "Tc", "Ge", "Tl", "Tc", "Tc", "Ge", "Tl", "Tl", "Tl"], "frac_coords": [[0.138, 0.362, 0.000], [0.862, 0.638, 0.000], [0.500, 0.500, 0.000], [0.672, 0.828, 0.500], [0.362, 0.862, 0.000], [0.638, 0.138, 0.000], [0.000, 0.000, 0.000], [0.172, 0.672, 0.500], [0.328, 0.172, 0.500], [0.828, 0.328, 0.500]]}



{"formula": "TlTcGe3", "functional": "PBE-GGA", "state": "optimized geometry", "de_polymorph_kj_per_mol_atoms": 0.0, "n_ef_per_ev_fu": 6.62, "e_tot_ev_per_atom": -5.092, "formation_energy_ev_per_atom": 0.225, "lattice": [[-1.498, 4.654, -0.031], [-4.644, -1.497, -0.304], [-0.298, -0.063, 4.879]], "species": ["Ge", "Ge", "Tl", "Ge", "Tc"], "frac_coords": [[0.500, 0.000, 0.000], [0.000, 0.000, 0.500], [0.500, 0.500, 0.500], [0.000, 0.500, 0.000], [0.000, 0.000, 0.000]]}



{"formula": "TlTc2Ge2", "functional": "PBE-GGA", "state": "optimized geometry", "de_polymorph_kj_per_mol_atoms": 18.8, "n_ef_per_ev_fu": 6.15, "e_tot_ev_per_atom": -6.132, "formation_energy_ev_per_atom": 0.335, "lattice": [[-7.462, -0.445, -1.290], [-1.128, -2.024, 7.223], [-0.300, 2.848, 0.751]], "species": ["Tl", "Tc", "Ge", "Ge", "Tc", "Tc", "Tl", "Tc", "Ge", "Ge"], "frac_coords": [[0.500, 0.500, 0.000], [0.652, 0.848, 0.500], [0.363, 0.863, 0.000], [0.863, 0.637, 0.000], [0.848, 0.348, 0.500], [0.152, 0.652, 0.500], [0.000, 0.000, 0.000], [0.348, 0.152, 0.500], [0.137, 0.363, 0.000], [0.637, 0.137, 0.000]]}



{"formula": "TlTc3Ge", "functional": "PBE-GGA", "state": "optimized geometry", "de_polymorph_kj_per_mol_atoms": 0.0, "n_ef_per_ev_fu": 8.05, "e_tot_ev_per_atom": -6.439, "formation_energy_ev_per_atom": 1.177, "lattice": [[4.613, 0.000, 0.000], [0.000, 4.613, 0.000], [0.000, 0.000, 4.613]], "species": ["Tc", "Tc", "Tc", "Ge", "Tl"], "frac_coords": [[0.000, 0.000, 0.500], [0.000, 0.500, 0.000], [0.500, 0.000, 0.000], [0.000, 0.000, 0.000], [0.500, 0.500, 0.500]]}



{"formula": "TlTc2Ge2", "functional": "PBE-GGA", "state": "optimized geometry", "de_polymorph_kj_per_mol_atoms": 6.9, "n_ef_per_ev_fu": 1.99, "e_tot_ev_per_atom": -6.255, "formation_energy_ev_per_atom": 0.212, "lattice": [[-0.891, -3.415, 0.921], [3.356, -1.116, -0.893], [3.227, -1.144, 6.104]], "species": ["Ge", "Tl", "Tc", "Tc", "Ge"], "frac_coords": [[0.750, 0.250, 0.500], [0.000, 0.000, 0.000], [0.611, 0.611, 0.779], [0.389, 0.389, 0.221], [0.250, 0.750, 0.500]]}



{"formula": "TlTcGe2", "functional": "PBE-GGA", "state": "optimized geometry", "de_polymorph_kj_per_mol_atoms": 0.0, "n_ef_per_ev_fu": 0.65, "e_tot_ev_per_atom": -5.013, "formation_energy_ev_per_atom": 0.479, "lattice": [[5.845, 0.000, 0.000], [0.000, 5.845, 0.000], [2.922, 2.922, 7.299]], "species": ["Ge", "Ge", "Tl", "Ge", "Tl", "Tc", "Ge", "Tc"], "frac_coords": [[0.375, 0.591, 0.750], [0.875, 0.659, 0.750], [0.000, 0.000, 0.000], [0.409, 0.125, 0.250], [0.750, 0.250, 0.500], [0.250, 0.750, 0.500], [0.341, 0.625, 0.250], [0.500, 0.500, 0.000]]}



{"formula": "TlTcGeW2", "functional": "PBE-GGA", "state": "optimized geometry", "n_ef_per_ev_fu": 8.96, "e_tot_ev_per_atom": -5.590, "formation_energy_ev_per_atom": 3.061, "lattice": [[-3.134, 3.786, -0.849], [-3.631, -2.477, 2.355], [1.348, 2.071, 4.257]], "species": ["W", "Ge", "W", "Tl", "Tc"], "frac_coords": [[0.500, 0.000, 0.000], [0.500, 0.500, 0.500], [0.000, 0.500, 0.000], [0.000, 0.000, 0.000], [0.000, 0.000, 0.500]]}



{"formula": "TlZnTcGe2", "functional": "PBE-GGA", "state": "optimized geometry", "de_polymorph_kj_per_mol_atoms": 0.0, "n_ef_per_ev_fu": 1.21, "e_tot_ev_per_atom": -4.500, "formation_energy_ev_per_atom": 0.148, "lattice": [[4.813, 0.000, 0.000], [0.000, 4.813, 0.000], [0.000, 0.000, 5.042]], "species": ["Ge", "Ge", "Tc", "Zn", "Tl"], "frac_coords": [[0.500, 0.000, 0.000], [0.000, 0.500, 0.000], [0.000, 0.000, 0.000], [0.000, 0.000, 0.500], [0.500, 0.500, 0.500]]}



{"formula": "TlZnTcGe2", "functional": "PBE-GGA", "state": "optimized geometry", "de_polymorph_kj_per_mol_atoms": 98.1, "n_ef_per_ev_fu": 4.05, "e_tot_ev_per_atom": -3.483, "formation_energy_ev_per_atom": 1.165, "lattice": [[-0.342, 4.770, -0.224], [-1.839, 0.096, 4.849], [4.464, 0.400, 1.685]], "species": ["Ge", "Tc", "Tl", "Zn", "Ge"], "frac_coords": [[0.500, 0.000, 0.000], [0.500, 0.500, 0.500], [0.000, 0.500, 0.000], [0.000, 0.000, 0.000], [0.000, 0.000, 0.500]]}



{"formula": "TmTc3Ge3", "functional": "PBE-GGA", "state": "optimized geometry", "de_polymorph_kj_per_mol_atoms": 37.8, "n_ef_per_ev_fu": 6.42, "e_tot_ev_per_atom": -6.571, "formation_energy_ev_per_atom": 0.489, "lattice": [[-2.819, 3.179, -5.250], [-5.512, 1.229, 3.703], [2.698, 5.830, 2.082]], "species": ["Tm", "Ge", "Ge", "Tc", "Tc", "Tc", "Tc", "Ge", "Ge", "Ge", "Tc", "Tm", "Ge", "Tc"], "frac_coords": [[0.500, 0.500, 0.500], [0.250, 0.500, 0.000], [0.500, 0.000, 0.250], [0.250, 0.000, 0.500], [0.500, 0.750, 0.000], [0.000, 0.500, 0.250], [0.750, 0.000, 0.500], [0.000, 0.750, 0.500], [0.000, 0.250, 0.500], [0.500, 0.000, 0.750], [0.000, 0.500, 0.750], [0.000, 0.000, 0.000], [0.750, 0.500, 0.000], [0.500, 0.250, 0.000]]}



{"formula": "Tm2Tc2Ge3", "functional": "PBE-GGA", "state": "optimized geometry", "n_ef_per_ev_fu": 5.01, "e_tot_ev_per_atom": -6.579, "formation_energy_ev_per_atom": -0.360, "lattice": [[3.691, 0.000, 0.000], [0.000, 7.005, -0.083], [-1.846, -2.040, 5.053]], "species": ["Tm", "Ge", "Tc", "Tm", "Ge", "Ge", "Tc"], "frac_coords": [[0.387, 0.237, 0.773], [0.680, 0.220, 0.360], [0.127, 0.427, 0.255], [0.613, 0.763, 0.227], [0.320, 0.780, 0.640], [0.000, 0.000, 0.000], [0.873, 0.573, 0.745]]}



{"formula": "Tm4TcGe8", "functional": "PBE-GGA", "state": "optimized geometry", "n_ef_per_ev_fu": 6.13, "e_tot_ev_per_atom": -5.531, "formation_energy_ev_per_atom": -0.517, "lattice": [[-0.997, 3.072, 2.353], [-3.248, -2.167, 1.454], [9.106, -5.898, 11.555]], "species": ["Ge", "Ge", "Tc", "Ge", "Ge", "Ge", "Tm", "Tm", "Tm", "Ge", "Ge", "Ge", "Tm"], "frac_coords": [[0.000, 0.000, 0.751], [0.000, 0.000, 0.467], [0.000, 0.000, 0.311], [0.000, 0.500, 0.228], [0.500, 0.500, 0.050], [0.500, 0.000, 0.574], [0.500, 0.500, 0.405], [0.000, 0.000, 0.092], [0.000, 0.500, 0.612], [0.500, 0.000, 0.225], [0.500, 0.500, 0.756], [0.000, 0.500, 0.938], [0.500, 0.000, 0.895]]}



{"formula": "TmTcGe4", "functional": "PBE-GGA", "state": "optimized geometry", "n_ef_per_ev_fu": 3.86, "e_tot_ev_per_atom": -5.378, "formation_energy_ev_per_atom": 0.173, "lattice": [[-1.388, -4.994, 1.938], [1.247, -2.248, -4.900], [8.141, -1.239, 2.640]], "species": ["Tm", "Ge", "Ge", "Tc", "Tc", "Ge", "Ge", "Ge", "Ge", "Ge", "Ge", "Tm"], "frac_coords": [[0.000, 0.000, 0.500], [0.782, 0.500, 0.287], [0.500, 0.782, 0.713], [0.000, 0.000, 0.000], [0.500, 0.500, 0.500], [0.500, 0.218, 0.713], [0.000, 0.282, 0.787], [0.718, 0.000, 0.213], [0.218, 0.500, 0.287], [0.282, 0.000, 0.213], [0.000, 0.718, 0.787], [0.500, 0.500, 0.000]]}



{"formula": "TmTc2Ge2", "functional": "PBE-GGA", "state": "optimized geometry", "de_polymorph_kj_per_mol_atoms": 0.0, "n_ef_per_ev_fu": 2.05, "e_tot_ev_per_atom": -7.327, "formation_energy_ev_per_atom": -0.439, "lattice": [[-0.971, 0.108, -4.000], [-3.160, -2.656, 0.696], [-4.801, 9.208, 3.533]], "species": ["Ge", "Tc", "Tm", "Tm", "Ge", "Ge", "Tc", "Ge", "Tc", "Tc"], "frac_coords": [[0.890, 0.162, 0.781], [0.464, 0.223, 0.928], [0.648, 0.360, 0.297], [0.352, 0.640, 0.703], [0.228, 0.837, 0.456], [0.772, 0.163, 0.544], [0.963, 0.720, 0.925], [0.110, 0.838, 0.219], [0.037, 0.280, 0.075], [0.536, 0.777, 0.072]]}